No. 1
Material: FePtCl2
Method: DFT, GGA-PBE
State: relaxed

## Properties
- Symmetry: Imm2
- Polymorph energy (0 for the lowest one): 146 meV per atom
- Fermi-level density of states: 2.14 states/eV per cell

abc: 8.1584 8.1584 8.1584
angles: 155.82 148.74 39.91
Site moments in Bohr magnetons follow the coordinates.
Atoms (fractional coordinates):
Fe 0.5447 0.5447 0.0000  3.35
Pt 0.4256 0.9256 0.5000  0.36
Cl 0.8818 0.8818 0.0000  0.04
Cl 0.6478 0.1478 0.5000  0.10


No. 2
Material: FePtCl2
Method: DFT, GGA-PBE
State: relaxed

## Properties
- Symmetry: R-3m
- Polymorph energy (0 for the lowest one): 377 meV per atom
- Fermi-level density of states: 5.26 states/eV per cell

abc: 10.4686 10.4686 10.4686
angles: 16.81 16.81 16.81
Site moments in Bohr magnetons follow the coordinates.
Atoms (fractional coordinates):
Fe 0.7500 0.7500 0.7500  3.44
Pt 0.2500 0.2500 0.2500  0.81
Cl 0.0313 0.0313 0.0313  0.23
Cl 0.4687 0.4687 0.4687  0.23


No. 3
Material: FePt4Cl
Method: DFT, GGA-PBE
State: relaxed

## Properties
- Symmetry: F-43m
- Fermi-level density of states: 4.43 states/eV per cell

abc: 5.3057 5.3057 5.3057
angles: 60.00 60.00 60.00
Site moments in Bohr magnetons follow the coordinates.
Atoms (fractional coordinates):
Fe 0.0000 0.0000 0.0000  3.55
Pt 0.6253 0.6253 0.1241  0.20
Pt 0.6253 0.1241 0.6253  0.20
Pt 0.6253 0.6253 0.6253  0.20
Pt 0.1241 0.6253 0.6253  0.20
Cl 0.2500 0.2500 0.2500  0.15


No. 4
Material: FePt3Cl
Method: DFT, GGA-PBE
State: relaxed

## Properties
- Symmetry: Pm-3m
- Polymorph energy (0 for the lowest one): 92 meV per atom
- Fermi-level density of states: 5.45 states/eV per cell

abc: 4.5233 4.5233 4.5233
angles: 90.00 90.00 90.00
Site moments in Bohr magnetons follow the coordinates.
Atoms (fractional coordinates):
Fe 0.5000 0.5000 0.5000  3.18
Pt 0.0000 0.5000 0.0000  0.00
Pt 0.0000 0.0000 0.5000  -0.06
Pt 0.5000 0.0000 0.0000  0.08
Cl 0.0000 0.0000 0.0000  -0.01


No. 5
Material: FePtCl
Method: DFT, GGA-PBE
State: relaxed

## Properties
- Symmetry: I4mm
- Polymorph energy (0 for the lowest one): 69 meV per atom
- Fermi-level density of states: 1.45 states/eV per cell

abc: 6.7559 6.7559 6.7559
angles: 155.26 155.26 35.27
Site moments in Bohr magnetons follow the coordinates.
Atoms (fractional coordinates):
Fe 0.3368 0.3368 0.0000  3.30
Pt 0.7059 0.7059 0.0000  0.48
Cl 0.9574 0.9574 0.0000  0.18


No. 6
Material: FePtCl2
Method: DFT, GGA-PBE
State: relaxed

## Properties
- Symmetry: C2/m
- Polymorph energy (0 for the lowest one): 26 meV per atom
- Fermi-level density of states: 1.09 states/eV per cell

abc: 6.8827 6.8827 4.3177
angles: 85.38 85.38 27.25
Site moments in Bohr magnetons follow the coordinates.
Atoms (fractional coordinates):
Fe 0.7500 0.7500 0.7500  3.34
Pt 0.2500 0.2500 0.2500  0.34
Cl 0.1137 0.1137 0.9528  0.09
Cl 0.3863 0.3863 0.5472  0.09


No. 7
Material: FePtCl2
Method: DFT, GGA-PBE
State: relaxed

## Properties
- Symmetry: F-43m
- Polymorph energy (0 for the lowest one): 758 meV per atom
- Fermi-level density of states: 1.17 states/eV per cell

abc: 4.5974 4.5974 4.5974
angles: 60.00 60.00 60.00
Site moments in Bohr magnetons follow the coordinates.
Atoms (fractional coordinates):
Fe 0.5000 0.5000 0.5000  3.45
Pt 0.2500 0.2500 0.2500  0.48
Cl 0.0000 0.0000 0.0000  0.07
Cl 0.7500 0.7500 0.7500  0.10


No. 8
Material: FePtCl2
Method: DFT, GGA-PBE
State: relaxed

## Properties
- Symmetry: P4mm
- Polymorph energy (0 for the lowest one): 214 meV per atom
- Fermi-level density of states: 2.72 states/eV per cell

abc: 2.9909 2.9909 8.5379
angles: 90.00 90.00 90.00
Site moments in Bohr magnetons follow the coordinates.
Atoms (fractional coordinates):
Fe 0.0000 0.0000 0.5168  3.29
Pt 0.5000 0.5000 0.7124  0.45
Cl 0.0000 0.0000 0.9279  -0.10
Cl 0.5000 0.5000 0.3429  0.15


No. 9
Material: FePtCl2
Method: DFT, GGA-PBE
State: relaxed

## Properties
- Symmetry: I-4m2
- Polymorph energy (0 for the lowest one): 593 meV per atom
- Fermi-level density of states: 4.97 states/eV per cell

abc: 6.3306 6.3306 6.3306
angles: 147.58 147.58 46.51
Site moments in Bohr magnetons follow the coordinates.
Atoms (fractional coordinates):
Fe 0.5000 0.5000 0.0000  3.18
Pt 0.7500 0.2500 0.5000  0.09
Cl 0.0000 0.0000 0.0000  0.08
Cl 0.2500 0.7500 0.5000  0.02


No. 10
Material: FePtCl2
Method: DFT, GGA-PBE
State: relaxed

## Properties
- Symmetry: Cmmm
- Polymorph energy (0 for the lowest one): 507 meV per atom
- Fermi-level density of states: 3.62 states/eV per cell

abc: 3.1493 3.1493 8.3976
angles: 90.00 90.00 123.24
Site moments in Bohr magnetons follow the coordinates.
Atoms (fractional coordinates):
Fe 0.5000 0.5000 0.2500  2.99
Pt 0.5000 0.5000 0.7500  -0.14
Cl 0.0000 0.0000 0.0379  0.06
Cl 0.0000 0.0000 0.4621  0.06


No. 11
Material: FePtCl2
Method: DFT, GGA-PBE
State: relaxed

## Properties
- Symmetry: I-42d
- Polymorph energy (0 for the lowest one): 799 meV per atom
- Fermi-level density of states: 10.85 states/eV per cell

abc: 5.7283 5.7283 6.1329
angles: 62.16 62.16 90.00
Atoms (fractional coordinates):
Fe 0.5000 0.5000 0.0000
Fe 0.2500 0.7500 0.5000
Pt 0.0000 0.0000 0.0000
Pt 0.7500 0.2500 0.5000
Cl 0.5770 0.1250 0.2500
Cl 0.1730 0.6250 0.2500
Cl 0.3750 0.4230 0.7500
Cl 0.8750 0.8270 0.7500


No. 12
Material: FePt3Cl
Method: DFT, GGA-PBE
State: relaxed

## Properties
- Symmetry: Pm-3m
- Polymorph energy (0 for the lowest one): 0 meV per atom
- Fermi-level density of states: 4.41 states/eV per cell

abc: 4.6585 4.6585 4.6585
angles: 90.00 90.00 90.00
Site moments in Bohr magnetons follow the coordinates.
Atoms (fractional coordinates):
Fe 0.0000 0.0000 0.0000  2.66
Pt 0.0000 0.5000 0.0000  0.34
Pt 0.0000 0.0000 0.5000  0.57
Pt 0.5000 0.0000 0.0000  0.18
Cl 0.5000 0.5000 0.5000  0.08


No. 13
Material: FePtCl
Method: DFT, GGA-PBE
State: relaxed

## Properties
- Symmetry: P3m1
- Polymorph energy (0 for the lowest one): 448 meV per atom
- Fermi-level density of states: 2.04 states/eV per cell

abc: 4.2902 4.2902 2.9211
angles: 90.00 90.00 120.00
Site moments in Bohr magnetons follow the coordinates.
Atoms (fractional coordinates):
Fe 0.6667 0.3333 0.1848  3.14
Pt 0.3333 0.6667 0.6759  0.40
Cl 0.0000 0.0000 0.1393  0.09


No. 14
Material: FePtCl2
Method: DFT, GGA-PBE
State: relaxed

## Properties
- Symmetry: P4/mmm
- Polymorph energy (0 for the lowest one): 548 meV per atom
- Fermi-level density of states: 3.80 states/eV per cell

abc: 2.9050 2.9049 10.1492
angles: 90.00 90.00 90.00
Site moments in Bohr magnetons follow the coordinates.
Atoms (fractional coordinates):
Fe 0.5000 0.5000 0.2500  3.43
Pt 0.5000 0.5000 0.7500  0.67
Cl 0.0000 0.0000 0.0993  0.23
Cl 0.0000 0.0000 0.4007  0.23


Number 1: magnetization 4.002 Bohr magnetons per cell, formation energy from raw total energies -0.065 eV/atom. Number 2: magnetization 4.900 Bohr magnetons per cell, formation energy from raw total energies 0.166 eV/atom. Number 3: magnetization 4.616 Bohr magnetons per cell, formation energy from raw total energies 0.457 eV/atom. Number 4: magnetization 3.152 Bohr magnetons per cell, formation energy from raw total energies 1.179 eV/atom. Number 5: magnetization 4.071 Bohr magnetons per cell, formation energy from raw total energies 0.044 eV/atom. Number 6: magnetization 4.001 Bohr magnetons per cell, formation energy from raw total energies -0.185 eV/atom. Number 7: magnetization 4.169 Bohr magnetons per cell, formation energy from raw total energies 0.548 eV/atom. Number 8: magnetization 3.849 Bohr magnetons per cell, formation energy from raw total energies 0.003 eV/atom. Number 9: magnetization 3.472 Bohr magnetons per cell, formation energy from raw total energies 0.382 eV/atom. Number 10: magnetization 3.043 Bohr magnetons per cell, formation energy from raw total energies 0.296 eV/atom. Number 11: magnetization 0.001 Bohr magnetons per cell, formation energy from raw total energies 0.589 eV/atom. Number 12: magnetization 3.913 Bohr magnetons per cell, formation energy from raw total energies 1.087 eV/atom. Number 13: magnetization 3.630 Bohr magnetons per cell, formation energy from raw total energies 0.422 eV/atom. Number 14: magnetization 4.715 Bohr magnetons per cell, formation energy from raw total energies 0.337 eV/atom.